No. 1
Ba2LaMn: optimized geometry, GGA-PBE.

D(E_F) (states/eV per atom): 1.39
Crystal system: monoclinic
Raw total energy (eV per atom): -4.030
Energy relative to the lowest polymorph listed for this composition (eV/atom): 0.172
ΔH_f (0 K) (eV/f.u.): 1.82

CIF file:
```
data_Ba2LaMn
_chemical_formula_sum 'Ba2 La1 Mn1'
_cell_length_a 4.043
_cell_length_b 4.046
_cell_length_c 9.893
_cell_angle_alpha 90.00
_cell_angle_beta 90.06
_cell_angle_gamma 90.00
_space_group_name_H-M_alt 'P 1 2/m 1'
_space_group_IT_number 10
loop_
_space_group_symop_operation_xyz
'x,y,z'
'-x,-y,-z'
'-x,y,-z'
'x,-y,z'
loop_
_atom_site_label
_atom_site_fract_x
_atom_site_fract_y
_atom_site_fract_z
Ba1 0.000 0.000 0.202
La1 0.500 0.500 0.500
Mn1 0.500 0.500 0.000
```

***

No. 2
Li3Sc2US6: optimized geometry, GGA-PBE.

D(E_F) (states/eV per atom): 0.73
Crystal system: monoclinic
Raw total energy (eV per atom): -6.150
E_form (uncorrected) (eV/atom): -1.6117

CIF file:
```
data_Li3Sc2US6
_chemical_formula_sum 'Li6 Sc4 U2 S12'
_cell_length_a 6.524
_cell_length_b 11.301
_cell_length_c 6.512
_cell_angle_alpha 90.00
_cell_angle_beta 109.48
_cell_angle_gamma 90.00
_space_group_name_H-M_alt 'C 1 2/m 1'
_space_group_IT_number 12
loop_
_space_group_symop_operation_xyz
'x,y,z'
'-x,-y,-z'
'-x,y,-z'
'x,-y,z'
'x+1/2,y+1/2,z'
'-x+1/2,-y+1/2,-z'
'-x+1/2,y+1/2,-z'
'x+1/2,-y+1/2,z'
loop_
_atom_site_label
_atom_site_fract_x
_atom_site_fract_y
_atom_site_fract_z
Li1 0.000 0.000 0.000
Li2 0.000 0.332 0.000
Sc1 0.000 0.166 0.500
U1 0.000 0.500 0.500
S1 0.238 0.000 0.747
S2 0.246 0.172 0.254
```

***

No. 3
GeBiIN2: optimized geometry, GGA-PBE.

D(E_F) (states/eV per atom): 0.42
Crystal system: tetragonal
Raw total energy (eV per atom): -3.888
Energy relative to the lowest polymorph listed for this composition (eV/atom): 0.000
E_form (uncorrected) (eV/atom): 1.4523

CIF file:
```
data_GeBiIN2
_chemical_formula_sum 'Ge1 Bi1 I1 N2'
_cell_length_a 4.237
_cell_length_b 4.237
_cell_length_c 5.494
_cell_angle_alpha 90.00
_cell_angle_beta 90.00
_cell_angle_gamma 90.00
_space_group_name_H-M_alt 'P 4/m m m'
_space_group_IT_number 123
_space_group_name_Hall '-P 4 2'
loop_
_atom_site_label
_atom_site_fract_x
_atom_site_fract_y
_atom_site_fract_z
Ge1 0.000 0.000 0.000
Bi1 0.500 0.500 0.500
I1 0.000 0.000 0.500
N1 0.000 0.500 0.000
```